BeS6F2: relaxed, PBE-GGA.

```
data_BeS6F2
_chemical_formula_sum 'Be1 S6 F2'
_space_group_name_H-M_alt 'P 1'
_space_group_IT_number 1
_cell_length_a 4.466
_cell_length_b 7.499
_cell_length_c 7.205
_cell_angle_alpha 102.61
_cell_angle_beta 99.32
_cell_angle_gamma 74.42
loop_
_space_group_symop_operation_xyz
'x,y,z'
loop_
_atom_site_label
_atom_site_fract_x
_atom_site_fract_y
_atom_site_fract_z
_atom_site_occupancy
S1 0.044 0.250 0.542 1
S2 0.956 0.750 0.458 1
S3 0.845 0.696 0.706 1
S4 0.187 0.455 0.752 1
S5 0.813 0.545 0.248 1
S6 0.155 0.304 0.294 1
Be1 0.000 0.000 0.000 1
F1 0.745 0.122 0.914 1
F2 0.255 0.878 0.086 1
```

Calculated values
N(E_F) in states/eV/cell: 0.000
Crystal system: triclinic
Formation energy without anion corrections in eV/f.u.: -7.5
Calculated total energy in eV/atom: -4.41

=====

BeSF3: relaxed, PBE-GGA.

```
data_BeSF3
_chemical_formula_sum 'Be1 S1 F3'
_space_group_name_H-M_alt 'P 1'
_space_group_IT_number 1
_cell_length_a 4.239
_cell_length_b 4.239
_cell_length_c 4.239
_cell_angle_alpha 90.00
_cell_angle_beta 90.00
_cell_angle_gamma 90.00
loop_
_space_group_symop_operation_xyz
'x,y,z'
loop_
_atom_site_label
_atom_site_fract_x
_atom_site_fract_y
_atom_site_fract_z
_atom_site_occupancy
F1 0.000 0.500 0.000 1
F2 0.500 0.000 0.000 1
F3 0.000 0.000 0.500 1
Be1 0.500 0.500 0.500 1
S1 0.000 0.000 0.000 1
```

Calculated values
N(E_F) in states/eV/cell: 2.272
Crystal system: cubic
Formation energy without anion corrections in eV/f.u.: -0.4
Calculated total energy in eV/atom: -2.78

=====

BeS2F2: relaxed, PBE-GGA.

```
data_BeS2F2
_chemical_formula_sum 'Be1 S2 F2'
_space_group_name_H-M_alt 'P 1'
_space_group_IT_number 1
_cell_length_a 3.360
_cell_length_b 3.360
_cell_length_c 6.050
_cell_angle_alpha 73.88
_cell_angle_beta 73.88
_cell_angle_gamma 90.00
loop_
_space_group_symop_operation_xyz
'x,y,z'
loop_
_atom_site_label
_atom_site_fract_x
_atom_site_fract_y
_atom_site_fract_z
_atom_site_occupancy
Be1 0.000 0.000 0.000 1
F1 0.250 0.750 0.500 1
F2 0.750 0.250 0.500 1
S1 0.402 0.402 0.196 1
S2 0.598 0.598 0.804 1
```

Calculated values
N(E_F) in states/eV/cell: 1.576
Distance to the lowest polymorph of the same formula in meV/atom: 667.0
Crystal system: tetragonal
Formation energy without anion corrections in eV/f.u.: 0.5
Calculated total energy in eV/atom: -3.04

=====

BeS2F2: relaxed, PBE-GGA.

```
data_BeS2F2
_chemical_formula_sum 'Be2 S4 F4'
_space_group_name_H-M_alt 'P 1'
_space_group_IT_number 1
_cell_length_a 5.627
_cell_length_b 5.627
_cell_length_c 4.069
_cell_angle_alpha 90.00
_cell_angle_beta 90.00
_cell_angle_gamma 90.00
loop_
_space_group_symop_operation_xyz
'x,y,z'
loop_
_atom_site_label
_atom_site_fract_x
_atom_site_fract_y
_atom_site_fract_z
_atom_site_occupancy
F1 0.247 0.747 0.500 1
F2 0.253 0.247 0.500 1
F3 0.753 0.253 0.500 1
F4 0.747 0.753 0.500 1
S1 0.120 0.380 0.000 1
S2 0.880 0.620 0.000 1
S3 0.380 0.880 0.000 1
S4 0.620 0.120 0.000 1
Be1 0.500 0.500 0.000 1
Be2 0.000 0.000 0.000 1
```

Calculated values
N(E_F) in states/eV/cell: 0.000
Distance to the lowest polymorph of the same formula in meV/atom: 0.0
Crystal system: tetragonal
Formation energy without anion corrections in eV/f.u.: -2.8
Calculated total energy in eV/atom: -3.70

=====

BeS5F: relaxed, PBE-GGA.

```
data_BeS5F
_chemical_formula_sum 'Be1 S5 F1'
_space_group_name_H-M_alt 'P 1'
_space_group_IT_number 1
_cell_length_a 7.026
_cell_length_b 2.998
_cell_length_c 9.997
_cell_angle_alpha 107.30
_cell_angle_beta 114.48
_cell_angle_gamma 65.19
loop_
_space_group_symop_operation_xyz
'x,y,z'
loop_
_atom_site_label
_atom_site_fract_x
_atom_site_fract_y
_atom_site_fract_z
_atom_site_occupancy
S1 0.171 0.671 0.342 1
S2 0.493 0.513 0.755 1
S3 0.853 0.851 0.204 1
S4 0.261 0.241 0.755 1
S5 0.351 0.353 0.204 1
F1 0.721 0.721 0.441 1
Be1 0.680 0.180 0.361 1
```

Calculated values
N(E_F) in states/eV/cell: 1.559
Crystal system: monoclinic
Formation energy without anion corrections in eV/f.u.: -3.8
Calculated total energy in eV/atom: -4.29

=====

BeSF2: relaxed, PBE-GGA.

```
data_BeSF2
_chemical_formula_sum 'Be1 S1 F2'
_space_group_name_H-M_alt 'P 1'
_space_group_IT_number 1
_cell_length_a 9.418
_cell_length_b 9.418
_cell_length_c 9.418
_cell_angle_alpha 15.82
_cell_angle_beta 15.82
_cell_angle_gamma 15.82
loop_
_space_group_symop_operation_xyz
'x,y,z'
loop_
_atom_site_label
_atom_site_fract_x
_atom_site_fract_y
_atom_site_fract_z
_atom_site_occupancy
F1 0.134 0.134 0.134 1
F2 0.866 0.866 0.866 1
Be1 0.500 0.500 0.500 1
S1 0.000 0.000 0.000 1
```

Calculated values
N(E_F) in states/eV/cell: 1.122
Distance to the lowest polymorph of the same formula in meV/atom: 0.0
Crystal system: trigonal
Formation energy without anion corrections in eV/f.u.: -7.7
Calculated total energy in eV/atom: -4.84